This record from the Alexandria database describes NaHf2In2 after structural relaxation. The functional is PBE.

a b c (Å): 8.939 8.939 3.091
angles (deg): 90.00 90.00 90.00
Element x y z (fractional)
Na (0.000, 0.000, 0.000)
Na (0.500, 0.500, 0.000)
Hf (0.123, 0.623, 0.500)
Hf (0.623, 0.877, 0.500)
Hf (0.877, 0.377, 0.500)
Hf (0.377, 0.123, 0.500)
In (0.327, 0.827, 0.000)
In (0.827, 0.673, 0.000)
In (0.673, 0.173, 0.000)
In (0.173, 0.327, 0.000)

Summary:
- Formation energy from the elements: 0.06 eV per atom
- Energy relative to the lowest polymorph listed for this composition: 0.000 eV per atom
- E: -5.285 eV per atom